The following is a PBE calculation of an optimized crystal structure of Cs3CdCu2Br9, from Alexandria via LeMat-Bulk.

The structure in POSCAR format:
```
Cs3CdCu2Br9
1.0
-4.756 -3.961 4.420
7.513 -0.548 1.050
-0.324 7.125 6.036
Br Cu Cs Cd
9 2 3 1
Cartesian
1.664 1.430 3.072
3.757 -0.274 0.525
-2.378 -1.981 2.210
2.997 -0.749 5.716
1.379 -2.254 2.735
-0.563 3.365 5.790
-2.862 1.451 7.927
0.769 1.186 8.434
5.296 1.166 3.580
3.373 -0.572 3.116
-0.940 3.189 8.390
0.000 0.000 0.000
-0.775 -0.438 5.317
3.208 3.055 6.189
-0.162 3.563 3.018
```

Output
- calculated density (g/cm³) = 4.815
- calculated volume (Å³/cell) = 468.1
- formation energy without anion corrections (eV/atom) = -0.981
- E_tot (eV/atom) = -2.76
- spin magnetization (μB per formula unit) = 0.00